## 1
# RbSc2Co

A relaxed RbSc2Co crystal (PBE, the Alexandria database).

Cell lengths 7.559, 7.559, 7.559 Å; angles 119.87, 119.87, 90.23 degrees
Positions (direct):
Rb (0.375, 0.625, 0.750)
Rb (0.625, 0.375, 0.250)
Sc (0.000, 0.000, 0.000)
Sc (0.000, 0.000, 0.500)
Sc (0.000, 0.500, 0.000)
Sc (0.500, 0.000, 0.500)
Co (0.125, 0.875, 0.250)
Co (0.875, 0.125, 0.750)

Summary:
Calculated density (g/cm3): 2.5
Calculated volume (Å³/cell): 306
Size of the total moment (μB/atom): 0.000
SG: No. 141

## 2
# RbSc2Co

A relaxed RbSc2Co crystal (PBE, the Alexandria database).

Cell lengths 10.319, 10.319, 10.319 Å; angles 21.01, 21.01, 21.01 degrees
Positions (direct):
Rb (0.000, 0.000, 0.000)
Sc (0.125, 0.125, 0.125)
Sc (0.875, 0.875, 0.875)
Co (0.500, 0.500, 0.500)

Summary:
Calculated density (g/cm3): 3.1
Calculated volume (Å³/cell): 124
Size of the total moment (μB/atom): 0.000
SG: No. 166

Energies, relative to the best one, in kJ/mol of atoms: 1 35.8; 2 0.0.